HfZr3Tl2 PBE relaxed; volume = 24.3 Å³ per atom; DOS at the Fermi energy = 7.30 states/eV per cell; theoretical density = 9.82 g/cm³; DFT total energy = -37.90 eV per cell; energy above the most stable polymorph in this dataset = 360 meV per atom; calculated formation energy = 2.43 eV per formula unit
1.0
-0.544 -0.238 -3.050
-1.496 -5.203 0.673
-7.102 5.218 2.443
Hf Zr Tl
1 3 2
Direct
0.000 0.000 0.000
0.000 0.500 0.000
0.830 0.830 0.660
0.170 0.170 0.340
0.657 0.657 0.314
0.343 0.343 0.686

Hf12Zr6Tl PBE relaxed; volume = 22.8 Å³ per atom; DOS at the Fermi energy = 25.93 states/eV per cell; theoretical density = 11.11 g/cm³; DFT total energy = -172.34 eV per cell; calculated formation energy = 0.75 eV per formula unit
1.0
9.172 -1.702 -3.787
-3.732 7.401 -1.517
-2.144 -0.038 8.115
Hf Zr Tl
12 6 1
Direct
0.796 0.266 0.372
0.483 0.162 0.429
0.418 0.471 0.262
0.888 0.620 0.674
0.582 0.529 0.738
0.517 0.838 0.571
0.372 0.786 0.105
0.273 0.435 0.791
0.204 0.734 0.628
0.628 0.214 0.895
0.727 0.565 0.209
0.112 0.380 0.326
0.055 0.683 0.160
0.834 0.937 0.518
0.679 0.898 0.048
0.166 0.063 0.482
0.945 0.317 0.840
0.321 0.102 0.952
0.000 0.000 0.000

HfZr3Tl2 PBE relaxed; volume = 23.2 Å³ per atom; DOS at the Fermi energy = 19.29 states/eV per cell; theoretical density = 10.27 g/cm³; DFT total energy = -160.24 eV per cell; energy above the most stable polymorph in this dataset = 0 meV per atom; calculated formation energy = 0.27 eV per formula unit
1.0
-0.053 -2.208 2.432
-5.136 -4.828 -4.495
15.995 -9.399 -8.181
Hf Zr Tl
4 12 8
Direct
0.250 0.952 0.438
0.750 0.548 0.938
0.250 0.452 0.062
0.750 0.048 0.562
0.250 0.860 0.963
0.750 0.640 0.463
0.250 0.360 0.537
0.750 0.140 0.037
0.250 0.027 0.155
0.750 0.473 0.655
0.250 0.527 0.345
0.750 0.973 0.845
0.250 0.651 0.203
0.750 0.849 0.703
0.250 0.151 0.297
0.750 0.349 0.797
0.250 0.735 0.583
0.750 0.765 0.083
0.250 0.235 0.917
0.750 0.265 0.417
0.250 0.665 0.810
0.750 0.835 0.310
0.250 0.165 0.690
0.750 0.335 0.190

Hf4ZrTl2 PBE relaxed; volume = 23.3 Å³ per atom; DOS at the Fermi energy = 12.65 states/eV per cell; theoretical density = 12.36 g/cm³; DFT total energy = -102.68 eV per cell; calculated formation energy = 1.76 eV per formula unit
1.0
-0.255 3.917 -3.513
2.208 -4.353 -1.064
-12.694 -5.238 -4.916
Hf Zr Tl
8 2 4
Direct
0.794 0.587 0.150
0.794 0.587 0.350
0.206 0.413 0.850
0.206 0.413 0.650
0.879 0.759 0.750
0.121 0.241 0.250
0.500 0.000 0.000
0.500 0.000 0.500
0.539 0.078 0.750
0.461 0.922 0.250
0.161 0.321 0.442
0.839 0.679 0.942
0.161 0.321 0.058
0.839 0.679 0.558

HfZr2Tl PBE relaxed; volume = 22.4 Å³ per atom; DOS at the Fermi energy = 4.42 states/eV per cell; theoretical density = 10.50 g/cm³; DFT total energy = -28.99 eV per cell; energy above the most stable polymorph in this dataset = 172 meV per atom; calculated formation energy = 0.43 eV per formula unit
1.0
5.020 0.000 0.000
2.510 4.347 0.000
2.510 1.449 4.098
Hf Zr Tl
1 2 1
Direct
0.500 0.500 0.500
0.000 0.000 0.000
0.250 0.250 0.250
0.750 0.750 0.750

HfZr5Tl3 PBE relaxed; volume = 23.9 Å³ per atom; DOS at the Fermi energy = 15.01 states/eV per cell; theoretical density = 9.65 g/cm³; DFT total energy = -114.03 eV per cell; energy above the most stable polymorph in this dataset = 365 meV per atom; calculated formation energy = 2.78 eV per formula unit
1.0
7.544 0.000 0.000
0.000 7.544 0.000
-3.772 -3.772 7.547
Hf Zr Tl
2 10 6
Direct
0.750 0.250 0.500
0.250 0.750 0.500
0.065 0.565 0.715
0.650 0.150 0.715
0.150 0.065 0.715
0.565 0.650 0.715
0.935 0.435 0.285
0.350 0.850 0.285
0.850 0.935 0.285
0.435 0.350 0.285
0.500 0.500 0.000
0.000 0.000 0.000
0.625 0.125 0.000
0.375 0.875 0.000
0.875 0.625 0.000
0.125 0.375 0.000
0.250 0.250 0.500
0.750 0.750 0.500

Hf5ZrTl2 PBE relaxed; volume = 22.0 Å³ per atom; DOS at the Fermi energy = 9.83 states/eV per cell; theoretical density = 13.15 g/cm³; DFT total energy = -126.26 eV per cell; calculated formation energy = -0.08 eV per formula unit
1.0
4.449 0.000 0.000
0.000 6.288 0.000
0.000 0.000 12.574
Hf Zr Tl
10 2 4
Direct
0.000 0.000 0.000
0.000 0.500 0.500
0.000 0.499 0.749
0.000 0.501 0.251
0.000 0.001 0.249
0.000 0.999 0.751
0.500 0.248 0.874
0.500 0.752 0.126
0.500 0.252 0.374
0.500 0.748 0.626
0.000 0.000 0.500
0.000 0.500 0.000
0.500 0.249 0.625
0.500 0.751 0.375
0.500 0.251 0.125
0.500 0.749 0.875

HfZr4Tl2 PBE relaxed; volume = 24.7 Å³ per atom; DOS at the Fermi energy = 7.10 states/eV per cell; theoretical density = 9.14 g/cm³; DFT total energy = -45.65 eV per cell; energy above the most stable polymorph in this dataset = 276 meV per atom; calculated formation energy = 3.23 eV per formula unit
1.0
-5.085 0.679 -2.353
1.514 -3.390 -4.251
-0.062 -2.949 6.053
Hf Zr Tl
1 4 2
Direct
0.000 0.000 0.000
0.750 0.249 0.500
0.250 0.751 0.500
0.500 0.000 0.000
0.000 0.500 0.000
0.648 0.648 0.297
0.352 0.352 0.703

HfZr2Tl PBE relaxed; volume = 24.2 Å³ per atom; DOS at the Fermi energy = 6.44 states/eV per cell; theoretical density = 9.69 g/cm³; DFT total energy = -55.43 eV per cell; energy above the most stable polymorph in this dataset = 490 meV per atom; calculated formation energy = 1.70 eV per formula unit
1.0
8.084 0.000 0.000
0.000 8.084 0.000
4.042 4.042 2.965
Tl Hf Zr
2 2 4
Direct
0.000 0.000 0.000
0.750 0.250 0.500
0.500 0.500 0.000
0.250 0.750 0.500
0.632 0.125 0.250
0.118 0.625 0.250
0.375 0.368 0.750
0.875 0.882 0.750

Hf3Zr6Tl PBE relaxed; volume = 23.2 Å³ per atom; DOS at the Fermi energy = 25.19 states/eV per cell; theoretical density = 9.20 g/cm³; DFT total energy = -165.54 eV per cell; calculated formation energy = 0.75 eV per formula unit
1.0
-2.939 0.216 -1.045
-3.084 -9.001 6.812
-2.141 9.847 8.061
Hf Zr Tl
6 12 2
Direct
0.750 0.421 0.903
0.250 0.579 0.097
0.750 0.637 0.497
0.250 0.363 0.503
0.750 0.074 0.095
0.250 0.926 0.905
0.750 0.504 0.693
0.250 0.496 0.307
0.750 0.812 0.076
0.250 0.188 0.924
0.750 0.343 0.113
0.250 0.657 0.887
0.750 0.727 0.296
0.250 0.273 0.704
0.750 0.125 0.483
0.250 0.875 0.517
0.750 0.768 0.712
0.250 0.232 0.288
0.750 0.033 0.712
0.250 0.967 0.288

HfZr6Tl5 PBE relaxed; volume = 22.8 Å³ per atom; DOS at the Fermi energy = 8.27 states/eV per cell; theoretical density = 10.61 g/cm³; DFT total energy = -73.25 eV per cell; energy above the most stable polymorph in this dataset = 0 meV per atom; calculated formation energy = -0.17 eV per formula unit
1.0
0.895 -0.621 -5.079
-0.074 -6.670 0.803
-8.131 3.568 0.787
Tl Hf Zr
5 1 6
Direct
0.343 0.843 0.686
0.669 0.669 0.338
0.000 0.500 0.000
0.331 0.331 0.662
0.657 0.157 0.314
0.000 0.000 0.000
0.167 0.419 0.334
0.167 0.915 0.334
0.500 0.261 0.000
0.500 0.739 0.000
0.833 0.085 0.666
0.833 0.581 0.666

Hf3Zr5Tl3 PBE relaxed; volume = 25.0 Å³ per atom; DOS at the Fermi energy = 16.04 states/eV per cell; theoretical density = 9.70 g/cm³; DFT total energy = -74.25 eV per cell; calculated formation energy = 5.45 eV per formula unit
1.0
3.164 0.000 0.000
0.000 8.671 -5.006
0.000 0.000 10.012
Hf Zr Tl
3 5 3
Direct
0.500 0.833 0.000
0.500 0.167 0.167
0.500 0.000 0.833
0.500 0.667 0.333
0.500 0.333 0.667
0.500 0.333 0.000
0.500 0.667 0.667
0.500 0.000 0.333
0.000 0.585 0.000
0.000 0.000 0.585
0.000 0.415 0.415

HfZr4Tl2 PBE relaxed; volume = 24.2 Å³ per atom; DOS at the Fermi energy = 10.70 states/eV per cell; theoretical density = 9.35 g/cm³; DFT total energy = -95.15 eV per cell; energy above the most stable polymorph in this dataset = 0 meV per atom; calculated formation energy = 1.30 eV per formula unit
1.0
7.603 0.019 -0.033
-2.515 7.175 0.033
-2.573 -3.577 6.197
Hf Zr Tl
2 8 4
Direct
0.000 0.000 0.000
0.750 0.500 0.250
0.113 0.894 0.363
0.637 0.750 0.531
0.969 0.606 0.719
0.281 0.250 0.887
0.637 0.750 0.031
0.781 0.250 0.887
0.469 0.106 0.219
0.113 0.394 0.363
0.875 0.130 0.505
0.495 0.370 0.625
0.375 0.870 0.745
0.255 0.630 0.125

Hf3Zr2Tl PBE relaxed; volume = 22.8 Å³ per atom; DOS at the Fermi energy = 9.41 states/eV per cell; theoretical density = 11.19 g/cm³; DFT total energy = -98.15 eV per cell; energy above the most stable polymorph in this dataset = 39 meV per atom; calculated formation energy = 0.25 eV per formula unit
1.0
-5.314 2.392 0.767
-4.245 -3.541 1.998
6.941 2.697 6.969
Hf Zr Tl
6 4 2
Direct
0.819 0.819 0.168
0.651 0.651 0.832
0.181 0.181 0.832
0.349 0.349 0.168
0.156 0.156 0.312
0.844 0.844 0.688
0.750 0.250 0.500
0.764 0.236 0.000
0.250 0.750 0.500
0.236 0.764 0.000
0.679 0.679 0.358
0.321 0.321 0.642

HfZr6Tl5 PBE relaxed; volume = 23.5 Å³ per atom; DOS at the Fermi energy = 11.95 states/eV per cell; theoretical density = 10.31 g/cm³; DFT total energy = -72.65 eV per cell; energy above the most stable polymorph in this dataset = 50 meV per atom; calculated formation energy = 0.43 eV per formula unit
1.0
5.679 -0.087 0.000
1.959 10.192 0.000
0.979 5.096 4.850
Hf Zr Tl
1 6 5
Direct
0.000 0.000 0.000
0.749 0.081 0.343
0.251 0.575 0.343
0.263 0.250 0.000
0.737 0.750 0.000
0.749 0.425 0.657
0.251 0.919 0.657
0.500 0.160 0.680
0.000 0.327 0.346
0.500 0.500 0.000
0.000 0.673 0.654
0.500 0.840 0.320

HfZr2Tl PBE relaxed; volume = 23.4 Å³ per atom; DOS at the Fermi energy = 3.60 states/eV per cell; theoretical density = 10.03 g/cm³; DFT total energy = -29.61 eV per cell; energy above the most stable polymorph in this dataset = 16 meV per atom; calculated formation energy = -0.20 eV per formula unit
1.0
-2.383 -1.141 1.745
2.050 -0.801 2.277
-1.116 8.377 3.953
Tl Hf Zr
1 1 2
Direct
0.500 0.500 0.000
0.500 0.500 0.500
0.000 0.000 0.738
0.000 0.000 0.262

Hf4Zr5Tl2 PBE relaxed; volume = 23.9 Å³ per atom; DOS at the Fermi energy = 12.19 states/eV per cell; theoretical density = 9.98 g/cm³; DFT total energy = -86.52 eV per cell; calculated formation energy = 0.77 eV per formula unit
1.0
3.850 0.001 2.602
1.925 6.094 1.302
-1.348 0.001 10.291
Hf Zr Tl
4 5 2
Direct
0.880 0.674 0.737
0.029 0.326 0.263
0.355 0.674 0.263
0.554 0.326 0.737
0.455 0.000 0.000
0.132 0.646 0.000
0.778 0.354 0.000
0.293 0.324 0.500
0.616 0.676 0.500
0.715 0.000 0.240
0.194 0.000 0.760

Hf2Zr4Tl PBE relaxed; volume = 28.6 Å³ per atom; DOS at the Fermi energy = 11.68 states/eV per cell; theoretical density = 7.69 g/cm³; DFT total energy = -48.63 eV per cell; energy above the most stable polymorph in this dataset = 1060 meV per atom; calculated formation energy = 7.84 eV per formula unit
1.0
5.358 0.000 0.000
0.000 5.358 0.000
2.679 2.679 6.969
Tl Hf Zr
1 2 4
Direct
0.000 0.000 0.000
0.397 0.397 0.206
0.603 0.603 0.794
0.201 0.201 0.599
0.799 0.799 0.401
0.000 0.500 0.000
0.500 0.000 0.000

HfZrTl2 PBE relaxed; volume = 22.9 Å³ per atom; DOS at the Fermi energy = 4.45 states/eV per cell; theoretical density = 12.29 g/cm³; DFT total energy = -22.52 eV per cell; energy above the most stable polymorph in this dataset = 155 meV per atom; calculated formation energy = 0.71 eV per formula unit
1.0
2.037 -4.632 -0.120
-0.529 -3.101 3.965
-2.988 -4.070 -0.351
Tl Hf Zr
2 1 1
Direct
0.250 0.250 0.250
0.750 0.750 0.750
0.500 0.500 0.500
0.000 0.000 0.000

HfZr6Tl PBE relaxed; volume = 23.0 Å³ per atom; DOS at the Fermi energy = 8.85 states/eV per cell; theoretical density = 8.41 g/cm³; DFT total energy = -63.90 eV per cell; energy above the most stable polymorph in this dataset = 0 meV per atom; calculated formation energy = -0.29 eV per formula unit
1.0
-0.863 4.029 1.758
-1.767 1.323 -3.899
-8.223 -2.950 2.726
Hf Zr Tl
1 6 1
Direct
0.000 0.000 0.500
0.500 0.500 0.000
0.500 0.500 0.500
0.500 0.000 0.255
0.500 0.000 0.745
0.000 0.500 0.255
0.000 0.500 0.745
0.000 0.000 0.000

HfZr2Tl PBE relaxed; volume = 23.5 Å³ per atom; DOS at the Fermi energy = 4.93 states/eV per cell; theoretical density = 10.00 g/cm³; DFT total energy = -29.02 eV per cell; energy above the most stable polymorph in this dataset = 165 meV per atom; calculated formation energy = 0.40 eV per formula unit
1.0
-0.233 1.816 -2.503
3.017 -0.506 -0.648
-5.337 -8.093 -3.452
Hf Zr Tl
1 2 1
Direct
0.944 0.624 0.888
0.083 0.401 0.166
0.329 0.893 0.657
0.703 0.141 0.405